(1)
Computed, not measured: PuGeO2 after structural relaxation at the PBE-GGA level of DFT.

Cell lengths 3.5371, 3.5371, 19.8286 Å; angles 90.00, 90.00, 120.00 degrees
Closest atoms and distances in Å follow each position.
Space group R-3m (No. 166, hexagonal axes)
Inequivalent atoms, fractional coordinates:
Pu 0.0000 0.0000 0.0000 [3 per cell]  2 O 2.06
Ge 0.0000 0.0000 0.5000 [3 per cell]  6 O 2.39
O 0.0000 0.0000 0.1038 [6 per cell]  1 Pu 2.06

**Calculated total energy**: -8.42 eV per atom
**Uncorrected formation energy**: -4.83 eV/f.u.
**Magnetic moment**: 15.1 μB per cell

***

(2)
Computed, not measured: NdDy3Tl after structural relaxation at the PBE-GGA level of DFT.

Cell lengths 10.4799, 5.4364, 11.0728 Å; angles 90.00, 90.00, 90.00 degrees
Closest atoms and distances in Å follow each position.
Space group Pnma (No. 62)
Inequivalent atoms, fractional coordinates:
Nd 0.2183 0.2500 0.0163 [4 per cell]  6 Dy 3.38-3.50
Dy 0.0950 0.2500 0.6076 [4 per cell]  3 Tl 3.03-3.27, 2 Dy 3.17-3.32
Dy 0.0951 0.7500 0.1699 [4 per cell]  2 Dy 3.17-3.32, 2 Tl 3.29, 2 Nd 3.46
Dy 0.1413 0.7500 0.8508 [4 per cell]  2 Tl 3.01-3.05
Tl 0.0684 0.2500 0.3349 [4 per cell]  7 Dy 3.01-3.29

**Calculated total energy**: -4.24 eV per atom
**Magnetic moment**: 0.0 μB per cell
**Offset from the most stable computed form**: 0.0674 eV/atom

***

(3)
Computed, not measured: NdY9Sc2 after structural relaxation at the PBE-GGA level of DFT.

Cell lengths 4.9984, 4.9984, 14.9783 Å; angles 90.00, 90.00, 90.00 degrees
Closest atoms and distances in Å follow each position.
Space group P4/mmm (No. 123)
Inequivalent atoms, fractional coordinates:
Nd 0.0000 0.0000 0.0000 [1 per cell]  12 Y 3.53-3.60
Y 0.0000 0.5000 0.1729 [4 per cell]  2 Sc 3.49, 8 Y 3.51-3.60, 2 Nd 3.60
Y 0.0000 0.5000 0.5000 [2 per cell]  8 Y 3.49-3.53, 4 Sc 3.50
Y 0.5000 0.5000 0.0000 [1 per cell]  4 Nd 3.53, 8 Y 3.60
Y 0.5000 0.5000 0.3375 [2 per cell]  8 Y 3.49-3.51, 4 Sc 3.53
Sc 0.0000 0.0000 0.3360 [2 per cell]  12 Y 3.49-3.53

**Calculated total energy**: -6.26 eV per atom
**Magnetic moment**: 0.0 μB per cell

***

(4)
Computed, not measured: ErAsO2 after structural relaxation at the PBE-GGA level of DFT.

Cell lengths 3.4762, 3.4762, 19.1884 Å; angles 90.00, 90.00, 120.00 degrees
Closest atoms and distances in Å follow each position.
Space group R-3m (No. 166, hexagonal axes)
Inequivalent atoms, fractional coordinates:
Er 0.0000 0.0000 0.0000 [3 per cell]  2 O 2.17
As 0.0000 0.0000 0.5000 [3 per cell]  6 O 2.26
O 0.0000 0.0000 0.1129 [6 per cell]  1 Er 2.17, 3 As 2.26

**Calculated total energy**: -5.91 eV per atom
**Uncorrected formation energy**: -4.51 eV/f.u.
**Magnetic moment**: 0.0 μB per cell

***

(5)
Computed, not measured: TaAlC3 after structural relaxation at the PBE-GGA level of DFT.

Cell lengths 3.7900, 3.7900, 3.7900 Å; angles 90.00, 90.00, 90.00 degrees
Closest atoms and distances in Å follow each position.
Space group Pm-3m (No. 221)
Inequivalent atoms, fractional coordinates:
Ta 0.0000 0.0000 0.0000 [1 per cell]  12 C 2.68
Al 0.5000 0.5000 0.5000 [1 per cell]  6 C 1.90
C 0.0000 0.5000 0.5000 [3 per cell]  2 Al 1.90

**Calculated total energy**: -6.73 eV per atom
**Magnetic moment**: 0.0 μB per cell
**Offset from the most stable computed form**: 0.1190 eV/atom

***

(6)
Computed, not measured: K5Gd3Br12 after structural relaxation at the PBE-GGA level of DFT.

Cell lengths 18.3346, 18.3346, 18.3346 Å; angles 90.00, 90.00, 90.00 degrees
Closest atoms and distances in Å follow each position.
Space group Ia-3d (No. 230)
Inequivalent atoms, fractional coordinates:
K 0.0000 0.0000 0.0000 [16 per cell]  6 Br 3.22
K 0.0000 0.2500 0.3750 [24 per cell]  4 Br 3.12
Gd 0.0000 0.2500 0.1250 [24 per cell]  4 Br 2.99
Br 0.0221 0.0903 0.6488 [96 per cell]  1 Gd 2.99, 2 K 3.12-3.22

**Calculated total energy**: -4.93 eV per atom
**Uncorrected formation energy**: -30.89 eV/f.u.
**Magnetic moment**: 167.2 μB per cell

***

(7)
Computed, not measured: Cr5Mo4 after structural relaxation at the PBE-GGA level of DFT.

Cell lengths 9.0039, 9.0039, 3.0234 Å; angles 90.00, 90.00, 90.00 degrees
Closest atoms and distances in Å follow each position.
Space group I4/mmm (No. 139)
Inequivalent atoms, fractional coordinates:
Cr 0.0000 0.0000 0.0000 [2 per cell]  8 Cr 2.57
Cr 0.1632 0.1632 0.5000 [8 per cell]  4 Mo 2.56, 4 Cr 2.57-2.68
Mo 0.0000 0.3237 0.0000 [8 per cell]  4 Cr 2.56, 4 Mo 2.71

**Calculated total energy**: -10.08 eV per atom
**Magnetic moment**: 0.0 μB per cell
**Offset from the most stable computed form**: 0.0000 eV/atom

***

(8)
Computed, not measured: K3YTa after structural relaxation at the PBE-GGA level of DFT.

Cell lengths 6.6047, 6.6047, 6.6047 Å; angles 90.00, 90.00, 90.00 degrees
Closest atoms and distances in Å follow each position.
Space group Pm-3m (No. 221)
Inequivalent atoms, fractional coordinates:
K 0.0000 0.0000 0.5000 [3 per cell]  2 Ta 3.30
Y 0.5000 0.5000 0.5000 [1 per cell]  12 K 4.67
Ta 0.0000 0.0000 0.0000 [1 per cell]  6 K 3.30

**Calculated total energy**: -2.53 eV per atom
**Magnetic moment**: 5.6 μB per cell
**Offset from the most stable computed form**: 0.0000 eV/atom

***

(9)
Computed, not measured: Pr2ScH after structural relaxation at the PBE-GGA level of DFT.

Cell lengths 3.4451, 3.4451, 28.5994 Å; angles 90.00, 90.00, 120.00 degrees
Closest atoms and distances in Å follow each position.
Space group R-3m (No. 166, hexagonal axes)
Inequivalent atoms, fractional coordinates:
Pr 0.0000 0.0000 0.1121 [6 per cell]  3 H 2.53
Sc 0.0000 0.0000 0.0000 [3 per cell]  2 Pr 3.21, 6 Sc 3.45
H 0.0000 0.0000 0.5000 [3 per cell]  6 Pr 2.53

**Calculated total energy**: -4.73 eV per atom
**Magnetic moment**: 0.9 μB per cell
**Offset from the most stable computed form**: 0.0000 eV/atom

***

(10)
Computed, not measured: Co2NiSe after structural relaxation at the PBE-GGA level of DFT.

Cell lengths 3.0531, 3.0531, 5.2592 Å; angles 90.00, 90.00, 90.00 degrees
Closest atoms and distances in Å follow each position.
Space group P4/mmm (No. 123)
Inequivalent atoms, fractional coordinates:
Co 0.0000 0.0000 0.2391 [2 per cell]  4 Ni 2.50, 2 Co 2.52-2.74, 4 Se 2.56
Ni 0.5000 0.5000 0.0000 [1 per cell]  8 Co 2.50, 2 Se 2.63
Se 0.5000 0.5000 0.5000 [1 per cell]  8 Co 2.56, 2 Ni 2.63

**Calculated total energy**: -5.63 eV per atom
**Uncorrected formation energy**: 0.95 eV/f.u.
**Magnetic moment**: 2.6 μB per cell

***

(11)
Computed, not measured: K2MnW after structural relaxation at the PBE-GGA level of DFT.

Cell lengths 3.2087, 6.3299, 12.1320 Å; angles 90.00, 90.00, 90.00 degrees
Closest atoms and distances in Å follow each position.
Space group Imm2 (No. 44)
Inequivalent atoms, fractional coordinates:
K 0.0000 0.0000 0.0000 [2 per cell]  2 K 3.21
K 0.0000 0.5000 0.2010 [2 per cell]  2 K 3.21
Mn 0.0000 0.5000 0.7725 [2 per cell]  2 W 2.25
W 0.0000 0.0000 0.4021 [2 per cell]  2 Mn 2.25

**Calculated total energy**: -4.85 eV per atom
**Magnetic moment**: 2.2 μB per cell
**Offset from the most stable computed form**: 0.3437 eV/atom

***

(12)
Computed, not measured: LiCa3Ge after structural relaxation at the PBE-GGA level of DFT.

Cell lengths 5.7683, 5.7683, 5.7683 Å; angles 90.00, 90.00, 90.00 degrees
Closest atoms and distances in Å follow each position.
Space group Pm-3m (No. 221)
Inequivalent atoms, fractional coordinates:
Li 0.0000 0.0000 0.0000 [1 per cell]  12 Ca 4.08
Ca 0.0000 0.5000 0.5000 [3 per cell]  2 Ge 2.88
Ge 0.5000 0.5000 0.5000 [1 per cell]  6 Ca 2.88

**Calculated total energy**: -2.66 eV per atom
**Magnetic moment**: 0.7 μB per cell
**Offset from the most stable computed form**: 0.1542 eV/atom

***

- Look up the calculated total energy of the fifth one.
  -6.73 eV per atom

***

- The highest calculated total energy belongs to which entry?
  K3YTa